This record from Alexandria via LeMat-Bulk describes a geometry-optimized ZrOsRu2 structure. The functional is GGA-PBE.

Values from the calculation:
Energy of formation from the pure elements, eV/atom: -0.05
DFT total energy, eV per cell: -77.04
Crystal system: orthorhombic

Lattice parameters (Å, degrees): 5.685 7.644 2.877 90.00 90.00 90.00
Space group Cmmm (No. 65)
Inequivalent atoms, fractional coordinates:
Zr 0.000 0.000 0.000
Os 0.000 0.500 0.000
Ru 0.250 0.250 0.500

---

This record from Alexandria via LeMat-Bulk describes a geometry-optimized ZrOs3Ru structure. The functional is GGA-PBE.

Values from the calculation:
Energy of formation from the pure elements, eV/atom: 1.66
DFT total energy, eV per cell: -43.22
Crystal system: cubic

Lattice parameters (Å, degrees): 4.644 4.644 4.644 90.00 90.00 90.00
Space group Pm-3m (No. 221)
Inequivalent atoms, fractional coordinates:
Zr 0.000 0.000 0.000
Os 0.000 0.500 0.500
Ru 0.500 0.500 0.500

---

This record from Alexandria via LeMat-Bulk describes a geometry-optimized ZrOsRu2 structure. The functional is GGA-PBE.

Values from the calculation:
Energy of formation from the pure elements, eV/atom: 0.16
DFT total energy, eV per cell: -150.74
Crystal system: cubic

Lattice parameters (Å, degrees): 6.360 6.360 6.360 90.00 90.00 90.00
Space group F-43m (No. 216)
Inequivalent atoms, fractional coordinates:
Zr 0.000 0.000 0.000
Os 0.250 0.250 0.250
Ru 0.000 0.000 0.500
Ru 0.250 0.250 0.750

---

This record from Alexandria via LeMat-Bulk describes a geometry-optimized ZrOsRu2 structure. The functional is GGA-PBE.

Values from the calculation:
Energy of formation from the pure elements, eV/atom: 0.23
DFT total energy, eV per cell: -112.24
Crystal system: trigonal

Lattice parameters (Å, degrees): 2.7865 2.7865 28.2043 90.00 90.00 120.00
Space group R-3m (No. 166, hexagonal axes)
Inequivalent atoms, fractional coordinates:
Zr 0.0000 0.0000 0.0000
Os 0.0000 0.0000 0.5000
Ru 0.0000 0.0000 0.2428